(1)
DFT (PBE) results for Re4Pt5 after structural relaxation.

Lattice parameters (Å, degrees): 7.6885 7.6885 5.4748 90.00 90.00 60.00
Last column: nearest neighbours and their distance in Å.
Sites, in units of the cell vectors:
Re  0.6712  0.3288  0.2500  5 Pt 2.53-2.74
Re  0.0000  0.6712  0.2500  5 Pt 2.53-2.74
Re  0.0000  0.0000  0.5000  8 Re 2.74-2.87, 6 Pt 2.89
Re  0.0000  0.0000  0.0000  8 Re 2.74-2.87, 6 Pt 2.89
Re  0.0000  0.3288  0.7500  5 Pt 2.53-2.74
Re  0.3288  0.6712  0.7500  5 Pt 2.53-2.74
Re  0.6712  0.0000  0.7500  5 Pt 2.53-2.74
Re  0.3288  0.0000  0.2500  5 Pt 2.53-2.74
Pt  0.6667  0.6667  0.0000  8 Pt 2.74-2.92, 6 Re 2.92
Pt  0.6695  0.0000  0.2500  5 Re 2.53-2.74
Pt  0.0000  0.3305  0.2500  5 Re 2.53-2.74
Pt  0.6695  0.3305  0.7500  5 Re 2.53-2.74
Pt  0.3305  0.6695  0.2500  5 Re 2.53-2.74
Pt  0.0000  0.6695  0.7500  5 Re 2.53-2.74
Pt  0.3333  0.3333  0.5000  8 Pt 2.74-2.92, 6 Re 2.92
Pt  0.6667  0.6667  0.5000  8 Pt 2.74-2.92, 6 Re 2.92
Pt  0.3305  0.0000  0.7500  5 Re 2.53-2.74
Pt  0.3333  0.3333  0.0000  8 Pt 2.74-2.92, 6 Re 2.92

The density of states at the Fermi level is 0.978 states/eV per atom. The relative energy among the computed polymorphs comes out at 357.2 meV per atom. As for the formation enthalpy at 0 K: 0.2214 eV/atom.


(2)
DFT (PBE) results for AcMg2Al2Au after structural relaxation.

Lattice parameters (Å, degrees): 5.2183 5.2183 7.0235 111.81 111.81 90.00
Last column: nearest neighbours and their distance in Å.
Sites, in units of the cell vectors:
Al  0.2022  0.2022  0.4045  1 Au 2.42, 4 Mg 2.67
Al  0.7978  0.7978  0.5955  1 Au 2.42, 4 Mg 2.67
Mg  0.7500  0.2500  0.5000  4 Al 2.67
Mg  0.2500  0.7500  0.5000  4 Al 2.67
Au  0.0000  0.0000  0.0000  2 Al 2.42
Ac  0.5000  0.5000  0.0000  2 Al 3.56, 4 Au 3.69, 8 Mg 3.97

The density of states at the Fermi level is 0.463 states/eV per atom. As for the formation enthalpy at 0 K: 0.0119 eV/atom.


(3)
DFT (PBE) results for Tb12Tl3Sn after structural relaxation.

Lattice parameters (Å, degrees): 4.8527 4.8527 19.4204 90.00 90.00 90.00
Last column: nearest neighbours and their distance in Å.
Sites, in units of the cell vectors:
Tb  0.5000  0.5000  0.7516  4 Tl 3.43, 8 Tb 3.44-3.45
Tb  0.0000  0.5000  0.8776  8 Tb 3.40-3.45, 2 Sn 3.40, 2 Tl 3.47
Tb  0.5000  0.0000  0.6258  4 Tl 3.42-3.44, 8 Tb 3.43-3.44
Tb  0.0000  0.5000  0.6258  4 Tl 3.42-3.44, 8 Tb 3.43-3.44
Tb  0.0000  0.5000  0.1224  8 Tb 3.40-3.45, 2 Sn 3.40, 2 Tl 3.47
Tb  0.5000  0.5000  0.2484  4 Tl 3.43, 8 Tb 3.44-3.45
Tb  0.5000  0.0000  0.3742  4 Tl 3.42-3.44, 8 Tb 3.43-3.44
Tb  0.0000  0.5000  0.3742  4 Tl 3.42-3.44, 8 Tb 3.43-3.44
Tb  0.5000  0.0000  0.1224  8 Tb 3.40-3.45, 2 Sn 3.40, 2 Tl 3.47
Tb  0.5000  0.5000  0.0000  8 Tb 3.40, 4 Sn 3.43
Tb  0.5000  0.5000  0.5000  4 Tl 3.43, 8 Tb 3.44
Tb  0.5000  0.0000  0.8776  8 Tb 3.40-3.45, 2 Sn 3.40, 2 Tl 3.47
Tl  0.0000  0.0000  0.5000  12 Tb 3.43-3.44
Tl  0.0000  0.0000  0.7500  12 Tb 3.42-3.47
Tl  0.0000  0.0000  0.2500  12 Tb 3.42-3.47
Sn  0.0000  0.0000  0.0000  12 Tb 3.40-3.43

The density of states at the Fermi level is 1.467 states/eV per atom. As for the formation enthalpy at 0 K: -0.2478 eV/atom.


(4)
DFT (PBE) results for TiSnS4 after structural relaxation.

Lattice parameters (Å, degrees): 3.5483 6.3067 7.4379 65.49 76.25 90.01
Last column: nearest neighbours and their distance in Å.
Sites, in units of the cell vectors:
S  0.3892  0.0684  0.2221  1 Ti 2.50, 2 Sn 2.55
S  0.1078  0.4568  0.7840  2 Ti 2.45, 1 Sn 2.63
S  0.8922  0.5432  0.2160  2 Ti 2.45, 1 Sn 2.63
S  0.6108  0.9316  0.7779  1 Ti 2.50, 2 Sn 2.55
Sn  0.0000  0.0000  0.0000  6 S 2.55-2.63
Ti  0.5000  0.5000  0.0000  6 S 2.45-2.50

The density of states at the Fermi level is 0.181 states/eV per atom. Its total energy is -32.94 eV for the cell shown.


Copy entry 2 word for word.
DFT (PBE) results for AcMg2Al2Au after structural relaxation.

Lattice parameters (Å, degrees): 5.2183 5.2183 7.0235 111.81 111.81 90.00
Last column: nearest neighbours and their distance in Å.
Sites, in units of the cell vectors:
Al  0.2022  0.2022  0.4045  1 Au 2.42, 4 Mg 2.67
Al  0.7978  0.7978  0.5955  1 Au 2.42, 4 Mg 2.67
Mg  0.7500  0.2500  0.5000  4 Al 2.67
Mg  0.2500  0.7500  0.5000  4 Al 2.67
Au  0.0000  0.0000  0.0000  2 Al 2.42
Ac  0.5000  0.5000  0.0000  2 Al 3.56, 4 Au 3.69, 8 Mg 3.97

The density of states at the Fermi level is 0.463 states/eV per atom. As for the formation enthalpy at 0 K: 0.0119 eV/atom.


- What is the formula in the third record?
  Tb12Tl3Sn